No. 1
Material: GaBi2Sb2
Method: DFT, PBE
State: relaxed

Cell and atoms, written as POSCAR:
```
GaBi2Sb2
1.0
8.350 0.000 0.000
0.000 8.350 0.000
0.000 0.000 4.319
Ga Bi Sb
2 4 4
Direct
0.000 0.000 0.000
0.500 0.500 0.000
0.149 0.351 0.500
0.351 0.851 0.500
0.649 0.149 0.500
0.851 0.649 0.500
0.159 0.659 0.000
0.341 0.159 0.000
0.659 0.841 0.000
0.841 0.341 0.000
```

Summary:
Energy above the most stable polymorph in this dataset   0.0 meV/atom
Mass density   8.064 g/cm³
Formation energy without anion corrections   0.168 eV/atom
Size of the total moment   0.0 Bohr magnetons per cell
DOS(E_F)   4.871 states/eV per cell
Space-group type   P4/mbm, No. 127



No. 2
Material: ScTaH3
Method: DFT, PBE
State: relaxed

Cell and atoms, written as POSCAR:
```
ScTaH3
1.0
3.590 0.000 0.000
0.000 3.590 0.000
0.000 0.000 3.590
Sc Ta H
1 1 3
Direct
0.000 0.000 0.000
0.500 0.500 0.500
0.000 0.000 0.500
0.000 0.500 0.000
0.500 0.000 0.000
```

Summary:
Energy above the most stable polymorph in this dataset   389.0 meV/atom
Mass density   8.217 g/cm³
Size of the total moment   0.0 Bohr magnetons per cell
DOS(E_F)   2.243 states/eV per cell
Space-group type   Pm-3m, No. 221



No. 3
Material: LaMgF5
Method: DFT, PBE
State: relaxed

Cell and atoms, written as POSCAR:
```
LaMgF5
1.0
-3.610 3.817 3.624
3.610 -3.817 3.624
3.610 3.817 -3.624
La Mg F
2 2 10
Direct
0.467 0.217 0.250
0.533 0.783 0.750
0.000 0.000 0.500
0.000 0.500 0.000
0.115 0.865 0.250
0.265 0.000 0.765
0.265 0.500 0.265
0.266 0.333 0.567
0.266 0.699 0.933
0.734 0.301 0.067
0.734 0.667 0.433
0.735 0.000 0.235
0.735 0.500 0.735
0.885 0.135 0.750
```

Summary:
Mass density   4.293 g/cm³
Formation energy without anion corrections   -3.763 eV/atom
Size of the total moment   0.0 Bohr magnetons per cell
DOS(E_F)   0.000 states/eV per cell
Space-group type   Imma, No. 74



No. 4
Material: TbCeTlAu
Method: DFT, PBE
State: relaxed

Cell and atoms, written as POSCAR:
```
TbCeTlAu
1.0
0.000 3.768 3.768
3.768 0.000 3.768
3.768 3.768 0.000
Tb Ce Tl Au
1 1 1 1
Direct
0.000 0.000 0.000
0.500 0.500 0.500
0.250 0.250 0.250
0.750 0.750 0.750
```

Summary:
Mass density   10.874 g/cm³
E_form   -0.44 eV per atom
Size of the total moment   1.3 Bohr magnetons per cell
DOS(E_F)   10.782 states/eV per cell
Space-group type   F-43m, No. 216



No. 5
Material: ReSiTc
Method: DFT, PBE
State: relaxed

Cell and atoms, written as POSCAR:
```
ReSiTc
1.0
4.173 0.000 0.000
-2.087 3.614 0.000
0.000 0.000 2.804
Re Si Tc
1 1 1
Direct
0.000 0.000 0.000
0.667 0.333 0.500
0.333 0.667 0.500
```

Summary:
Energy above the most stable polymorph in this dataset   185.5 meV/atom
Mass density   12.261 g/cm³
Formation energy without anion corrections   -0.131 eV/atom
Size of the total moment   0.0 Bohr magnetons per cell
DOS(E_F)   1.837 states/eV per cell
Space-group type   P-6m2, No. 187



No. 6
Material: NaMn2CoS8
Method: DFT, PBE
State: relaxed

Cell and atoms, written as POSCAR:
```
NaMn2CoS8
1.0
2.844 1.642 8.674
-2.844 1.642 8.674
0.000 -3.284 8.674
Na Mn Co S
1 2 1 8
Direct
0.000 0.000 0.000
0.245 0.245 0.245
0.755 0.755 0.755
0.500 0.500 0.500
0.125 0.779 0.448
0.221 0.552 0.875
0.324 0.324 0.324
0.448 0.125 0.779
0.552 0.875 0.221
0.676 0.676 0.676
0.779 0.448 0.125
0.875 0.221 0.552
```

Summary:
Mass density   3.063 g/cm³
Formation energy without anion corrections   -0.237 eV/atom
Size of the total moment   1.5 Bohr magnetons per cell
DOS(E_F)   5.545 states/eV per cell
Space-group type   R-3, No. 148



No. 7
Material: K3LiU3Se8
Method: DFT, PBE
State: relaxed

Cell and atoms, written as POSCAR:
```
K3LiU3Se8
1.0
4.164 2.404 7.740
-4.164 2.404 7.740
0.000 -4.808 7.740
K Li U Se
3 1 3 8
Direct
0.000 0.500 0.500
0.500 0.000 0.500
0.500 0.500 0.000
0.500 0.500 0.500
0.000 0.000 0.500
0.000 0.500 0.000
0.500 0.000 0.000
0.222 0.737 0.737
0.236 0.236 0.236
0.263 0.263 0.778
0.263 0.778 0.263
0.737 0.222 0.737
0.737 0.737 0.222
0.764 0.764 0.764
0.778 0.263 0.263
```

Summary:
Mass density   5.252 g/cm³
Formation energy without anion corrections   -1.239 eV/atom
Size of the total moment   6.0 Bohr magnetons per cell
DOS(E_F)   13.625 states/eV per cell
Space-group type   R-3m, No. 166



No. 8
Material: RuPt8Rh2
Method: DFT, PBE
State: relaxed

Cell and atoms, written as POSCAR:
```
RuPt8Rh2
1.0
5.813 -3.609 0.000
5.813 3.609 0.000
-0.954 0.000 4.489
Ru Pt Rh
1 8 2
Direct
0.000 0.000 0.000
0.227 0.227 0.105
0.241 0.618 0.211
0.355 0.355 0.671
0.382 0.759 0.789
0.618 0.241 0.211
0.645 0.645 0.329
0.759 0.382 0.789
0.773 0.773 0.895
0.117 0.117 0.544
0.883 0.883 0.456
```

Summary:
Mass density   16.468 g/cm³
E_form   0.34 eV per atom
Size of the total moment   0.0 Bohr magnetons per cell
DOS(E_F)   19.288 states/eV per cell
Space-group type   C2/m, No. 12



No. 9
Material: La2Ce4C
Method: DFT, PBE
State: relaxed

Cell and atoms, written as POSCAR:
```
La2Ce4C
1.0
-2.470 2.470 8.268
2.470 -2.470 8.268
2.470 2.470 -8.268
La Ce C
2 4 1
Direct
0.163 0.163 0.000
0.837 0.837 0.000
0.000 0.500 0.500
0.356 0.356 0.000
0.500 0.000 0.500
0.644 0.644 0.000
0.500 0.500 0.000
```

Summary:
Mass density   6.997 g/cm³
E_form   0.12 eV per atom
Size of the total moment   1.0 Bohr magnetons per cell
DOS(E_F)   15.842 states/eV per cell
Space-group type   I4/mmm, No. 139



No. 10
Material: Zr3VCo
Method: DFT, PBE
State: relaxed

Cell and atoms, written as POSCAR:
```
Zr3VCo
1.0
4.817 0.000 0.000
0.000 4.817 0.000
0.000 0.000 4.817
Zr V Co
3 1 1
Direct
0.000 0.000 0.500
0.000 0.500 0.000
0.500 0.000 0.000
0.500 0.500 0.500
0.000 0.000 0.000
```

Summary:
Energy above the most stable polymorph in this dataset   0.0 meV/atom
Mass density   5.697 g/cm³
E_form   0.46 eV per atom
Size of the total moment   3.0 Bohr magnetons per cell
DOS(E_F)   6.961 states/eV per cell
Space-group type   Pm-3m, No. 221



No. 11
Material: LiCO
Method: DFT, PBE
State: relaxed

Cell and atoms, written as POSCAR:
```
LiCO
1.0
4.966 -1.303 0.000
4.966 1.303 0.000
-2.488 0.000 4.914
Li C O
2 2 2
Direct
0.000 0.000 0.000
0.000 0.000 0.500
0.288 0.288 0.542
0.712 0.712 0.458
0.441 0.441 0.705
0.559 0.559 0.295
```

Summary:
Energy above the most stable polymorph in this dataset   12.4 meV/atom
Mass density   1.825 g/cm³
Formation energy without anion corrections   -1.093 eV/atom
Size of the total moment   0.0 Bohr magnetons per cell
DOS(E_F)   0.928 states/eV per cell
Space-group type   C2/m, No. 12